Below is a geometry-optimized BeCdH2 structure, with properties calculated at the PBE level.

Space-group type = Fd-3m
Distance to the lowest polymorph of the same formula = 0.00 eV/f.u.
Calculated density = 4.499 g/cm3
Volume = 46 Å³/f.u.

a = 5.0510 Å, b = 5.0510 Å, c = 5.0508 Å
α = 60.00°, β = 60.00°, γ = 90.00°
With the nearest neighbours (Å) after each atom.
Element x y z (fractional)
Be1 0.5000 0.5000 0.0000  4 H 1.55
Be2 0.2500 0.7500 0.5000  4 H 1.55
H1 0.3753 0.1250 0.2500  2 Be 1.55
H2 0.3747 0.6250 0.2500  2 Be 1.55
H3 0.3750 0.6247 0.7500  2 Be 1.55
H4 0.8750 0.6253 0.7500  2 Be 1.55
Cd1 0.0000 0.0000 0.0000  12 H 2.96, 4 Cd 3.09, 4 Be 3.09
Cd2 0.7500 0.2500 0.5000  12 H 2.96, 4 Be 3.09, 4 Cd 3.09


Below is a geometry-optimized Be2CdHgH structure, with properties calculated at the PBE level.

Space-group type = P4/mmm
Calculated density = 8.142 g/cm3
Volume = 68 Å³/f.u.
Total DFT energy (no corrections) = -1.72 eV/atom

a = 4.0349 Å, b = 4.1597 Å, c = 4.0349 Å
α = 90.00°, β = 90.00°, γ = 90.00°
With the nearest neighbours (Å) after each atom.
Element x y z (fractional)
Be1 0.0000 0.0000 0.5000  2 H 2.02
Be2 0.5000 0.0000 0.0000  2 H 2.02
Hg1 0.5000 0.5000 0.5000  4 Cd 2.85, 8 Be 2.90
H1 0.0000 0.0000 0.0000  4 Be 2.02, 2 Cd 2.08
Cd1 0.0000 0.5000 0.0000  2 H 2.08


Below is a geometry-optimized BeCdIn2H structure, with properties calculated at the PBE level.

Space-group type = P4/mmm
Calculated density = 5.942 g/cm3
Volume = 98 Å³/f.u.
Total DFT energy (no corrections) = -2.11 eV/atom

a = 4.9367 Å, b = 4.9367 Å, c = 4.0372 Å
α = 90.00°, β = 90.00°, γ = 90.00°
With the nearest neighbours (Å) after each atom.
Element x y z (fractional)
Be1 0.5000 0.5000 0.5000  8 In 3.19, 4 Cd 3.49
Cd1 0.0000 0.0000 0.5000  2 H 2.02
H1 0.0000 0.0000 0.0000  2 Cd 2.02
In1 0.0000 0.5000 0.0000  2 H 2.47
In2 0.5000 0.0000 0.0000  2 H 2.47